Entry 1:
# VCr

Crystalline VCr at its relaxed geometry (PBE-GGA, the Alexandria database).

Structure (POSCAR):
```
VCr
1.0
-2.710 5.157 3.969
-2.649 -4.801 4.430
3.608 0.128 2.297
V Cr
8 8
direct
0.307 0.000 0.000
0.193 0.500 0.500
0.500 0.193 0.500
0.000 0.693 0.000
0.000 0.307 0.000
0.807 0.500 0.500
0.693 0.000 0.000
0.500 0.807 0.500
0.662 0.338 0.000
0.162 0.838 0.500
0.338 0.662 0.000
0.662 0.662 0.000
0.338 0.338 0.000
0.838 0.162 0.500
0.162 0.162 0.500
0.838 0.838 0.500
```

Values from the calculation:
The calculation puts the formation energy at 0.300 eV/atom. The space group is No. 139. Its density of states at the Fermi level is 17.14 states/eV/cell. For the size of the total moment, the calculation gives 0.0000 μB per atom.

Entry 2:
# VCr7

Crystalline VCr7 at its relaxed geometry (PBE-GGA, the Alexandria database).

Structure (POSCAR):
```
VCr7
1.0
-1.197 2.035 3.291
-3.324 1.222 -1.965
-0.541 -6.272 1.188
Cr V
7 1
direct
0.874 0.374 0.748
0.126 0.626 0.252
0.250 0.250 0.499
0.626 0.126 0.252
0.750 0.750 0.501
0.374 0.874 0.748
0.500 0.500 0.000
0.000 0.000 0.000
```

Values from the calculation:
The calculation puts the formation energy at -0.043 eV/atom. The space group is No. 139. Its density of states at the Fermi level is 4.90 states/eV/cell. For the size of the total moment, the calculation gives 0.0004 μB per atom.

Entry 3:
# VCr

Crystalline VCr at its relaxed geometry (PBE-GGA, the Alexandria database).

Structure (POSCAR):
```
VCr
1.0
-3.119 -2.084 3.116
-1.344 -2.151 -1.430
1.672 -2.731 2.513
Cr V
2 2
direct
0.700 0.832 0.262
0.221 0.572 0.502
0.720 0.322 0.752
0.202 0.081 0.012
```

Values from the calculation:
The calculation puts the formation energy at -0.085 eV/atom. The space group is No. 2. Its density of states at the Fermi level is 3.93 states/eV/cell. For the size of the total moment, the calculation gives 0.0000 μB per atom.

Entry 4:
# VCr5

Crystalline VCr5 at its relaxed geometry (PBE-GGA, the Alexandria database).

Structure (POSCAR):
```
VCr5
1.0
2.505 0.000 0.000
-1.252 2.169 0.000
0.000 0.000 13.493
Cr V
5 1
direct
0.667 0.333 0.172
0.667 0.333 0.828
0.667 0.333 0.500
0.000 0.000 0.664
0.000 0.000 0.336
0.000 0.000 0.000
```

Values from the calculation:
The calculation puts the formation energy at 0.380 eV/atom. The space group is No. 187. Its density of states at the Fermi level is 9.27 states/eV/cell. For the size of the total moment, the calculation gives 0.0000 μB per atom.

Entry 5:
# VCr2

Crystalline VCr2 at its relaxed geometry (PBE-GGA, the Alexandria database).

Structure (POSCAR):
```
VCr2
1.0
-2.509 -0.260 1.408
-0.948 -3.234 -2.286
3.955 -3.579 3.422
V Cr
2 4
direct
0.583 0.250 0.167
0.417 0.750 0.833
0.087 0.750 0.173
0.253 0.250 0.506
0.913 0.250 0.827
0.747 0.750 0.494
```

Values from the calculation:
The calculation puts the formation energy at -0.089 eV/atom. The space group is No. 63. Its density of states at the Fermi level is 2.81 states/eV/cell. For the size of the total moment, the calculation gives 0.0000 μB per atom.

Entry 6:
# VCr

Crystalline VCr at its relaxed geometry (PBE-GGA, the Alexandria database).

Structure (POSCAR):
```
VCr
1.0
4.328 0.000 0.000
0.000 2.452 0.000
0.000 0.000 4.752
Cr V
2 2
direct
0.500 0.930 0.235
0.500 0.070 0.735
0.000 0.608 0.978
0.000 0.392 0.478
```

Values from the calculation:
The calculation puts the formation energy at 0.106 eV/atom. The space group is No. 26. Its density of states at the Fermi level is 2.94 states/eV/cell. For the size of the total moment, the calculation gives 0.0000 μB per atom.

Entry 7:
# V13Cr2

Crystalline V13Cr2 at its relaxed geometry (PBE-GGA, the Alexandria database).

Structure (POSCAR):
```
V13Cr2
1.0
6.960 0.000 0.000
3.480 6.028 0.000
3.480 2.009 5.074
V Cr
13 2
direct
0.363 0.363 0.301
0.637 0.637 0.699
0.809 0.809 0.179
0.363 0.973 0.301
0.809 0.203 0.179
0.500 0.500 0.500
0.203 0.809 0.179
0.027 0.637 0.699
0.637 0.027 0.699
0.797 0.191 0.821
0.191 0.797 0.821
0.191 0.191 0.821
0.973 0.363 0.301
0.355 0.355 0.935
0.645 0.645 0.065
```

Values from the calculation:
The calculation puts the formation energy at 0.470 eV/atom. The space group is No. 166. Its density of states at the Fermi level is 20.15 states/eV/cell. For the size of the total moment, the calculation gives 0.0000 μB per atom.

Entry 8:
# V3Cr13

Crystalline V3Cr13 at its relaxed geometry (PBE-GGA, the Alexandria database).

Structure (POSCAR):
```
V3Cr13
1.0
-3.776 3.603 -2.412
-3.472 -4.430 -1.172
-2.591 0.686 5.082
V Cr
3 13
direct
0.002 0.998 0.251
0.002 0.998 0.749
0.747 0.253 0.000
0.001 0.501 0.251
0.499 0.999 0.749
0.253 0.747 0.500
0.498 0.502 0.749
0.253 0.252 0.500
0.001 0.501 0.749
0.252 0.252 0.000
0.498 0.502 0.251
0.748 0.252 0.500
0.499 0.999 0.251
0.253 0.747 0.000
0.748 0.747 0.500
0.748 0.748 0.000
```

Values from the calculation:
The calculation puts the formation energy at -0.050 eV/atom. The space group is No. 38. Its density of states at the Fermi level is 11.90 states/eV/cell. For the size of the total moment, the calculation gives 0.0001 μB per atom.

Record order is preserved below.
DFT total energy: -0.3334, -0.3529, -0.3475, -0.3366, -0.3507, -0.3405, -0.3203, -0.3520 hartree per atom